Record 1
{
  "formula": "ZrCrTe2",
  "functional": "SCAN",
  "state": "PBEsol geometry",
  "lattice": [[-3.202, 1.409, 0.546], [-1.144, -3.096, 1.282], [1.925, 1.917, 6.347]],
  "species": ["Cr", "Te", "Te", "Zr"],
  "fractional_positions": [[0.500, 0.500, 0.500], [0.000, 0.000, 0.756], [0.000, 0.000, 0.244], [0.500, 0.500, 0.000]],
  "space_group": "P4/mmm",
  "relative_energy_mev_per_atom": 146,
  "final_energy_ev_per_atom": -31.3116,
  "rho_g_cm3": 7.64
}

---

Record 2
{
  "formula": "Y3FePd",
  "functional": "SCAN",
  "state": "PBEsol geometry",
  "lattice": [[-1.696, -1.874, 4.625], [4.737, -2.140, 0.870], [1.569, 4.437, 2.373]],
  "species": ["Y", "Y", "Y", "Fe", "Pd"],
  "fractional_positions": [[0.000, 0.500, 0.000], [0.000, 0.000, 0.500], [0.500, 0.000, 0.000], [0.500, 0.500, 0.500], [0.000, 0.000, 0.000]],
  "space_group": "Pm-3m",
  "final_energy_ev_per_atom": -26.6610,
  "delta_e_f_ev_per_atom": 0.2255,
  "rho_g_cm3": 4.87
}

---

Record 3
{
  "formula": "CaCdPb",
  "functional": "SCAN",
  "state": "PBEsol geometry",
  "lattice": [[3.752, 0.000, 0.000], [0.000, 4.979, 0.000], [0.000, -2.489, 4.312]],
  "species": ["Pb", "Ca", "Cd"],
  "fractional_positions": [[0.425, 0.667, 0.333], [0.002, 0.000, 0.000], [0.573, 0.333, 0.667]],
  "space_group": "P3m1",
  "final_energy_ev_per_atom": -39.0871,
  "delta_e_f_ev_per_atom": -0.4675,
  "rho_g_cm3": 7.42
}